Record 1
Ba8GaSn2 (PBE, relaxed); formation energy from the elements = -288 meV/atom; E_tot = -2.6898 eV per atom; energy above the most stable polymorph in this dataset = 70.2 meV/atom; total moment = 0.00 Bohr magnetons per cell; symmetry = Immm; mass density = 4.84 g/cm³
1.0
5.559 0.000 -1.692
-1.473 8.523 -4.841
0.053 0.013 10.154
Ba Sn Ga
8 2 1
Cartesian
4.628 5.707 5.228
-0.489 2.828 -1.606
0.568 1.159 1.868
1.781 1.052 5.851
3.571 7.377 1.754
3.018 3.669 -0.063
1.121 4.866 3.685
2.359 7.484 -2.230
4.051 2.592 3.332
0.088 5.943 0.290
2.780 0.000 -0.846

Record 2
BaGa3Sn (PBE, relaxed); formation energy from the elements = -414 meV/atom; E_tot = -3.4157 eV per atom; energy above the most stable polymorph in this dataset = 0.0 meV/atom; total moment = 0.00 Bohr magnetons per cell; symmetry = I4mm; mass density = 6.00 g/cm³
1.0
-3.297 -4.432 3.257
1.335 -6.065 -1.597
3.463 5.163 1.568
Ga Ba Sn
3 1 1
Cartesian
-0.424 -2.348 2.841
-0.713 -3.812 0.603
1.892 -3.165 0.415
-1.961 -10.490 1.659
-1.217 -6.511 1.030

Record 3
BaGa3Sn3 (PBE, relaxed); formation energy from the elements = -106 meV/atom; E_tot = -3.3930 eV per atom; energy above the most stable polymorph in this dataset = 85.6 meV/atom; total moment = 0.00 Bohr magnetons per cell; symmetry = P6_3/m; mass density = 6.07 g/cm³
1.0
5.373 0.000 0.000
0.000 9.089 0.000
0.000 -4.545 7.871
Ga Sn Ba
6 6 2
Cartesian
1.343 1.797 0.373
4.029 -3.323 6.502
1.343 7.867 1.370
1.343 3.969 6.128
4.029 2.747 7.498
4.029 0.575 1.743
1.343 1.001 3.130
4.029 3.544 4.741
4.029 6.878 2.432
1.343 1.333 7.173
1.343 -2.334 5.440
4.029 3.211 0.699
4.029 0.000 5.248
1.343 4.545 2.624

Record 4
BaGaSn3 (PBE, relaxed); formation energy from the elements = 959 meV/atom; E_tot = -2.4330 eV per atom; energy above the most stable polymorph in this dataset = 1301.0 meV/atom; total moment = 0.00 Bohr magnetons per cell; symmetry = Pm-3m; mass density = 3.88 g/cm³
1.0
6.222 0.000 0.000
0.000 6.222 0.000
0.000 0.000 6.222
Ga Sn Ba
1 3 1
Cartesian
3.111 3.111 3.111
0.000 3.111 0.000
0.000 0.000 3.111
3.111 0.000 0.000
0.000 0.000 0.000

Record 5
Ba8Ga2Sn (PBE, relaxed); formation energy from the elements = -268 meV/atom; E_tot = -2.5804 eV per atom; energy above the most stable polymorph in this dataset = 0.0 meV/atom; total moment = 0.91 Bohr magnetons per cell; symmetry = C2/m; mass density = 4.56 g/cm³
1.0
-2.575 -0.071 5.335
-7.388 -2.148 -3.595
6.774 -8.526 -0.134
Ba Ga Sn
8 2 1
Cartesian
3.321 -5.694 1.526
-0.138 -4.057 -0.121
-5.460 -2.249 -2.665
-3.051 -6.689 1.727
-3.544 -2.673 1.543
-6.509 -5.052 0.080
2.271 -8.497 4.272
0.355 -8.073 0.063
-3.112 -4.606 -1.564
-0.077 -6.140 3.170
-1.287 -0.036 2.667

Record 6
Ba3Ga4Sn (PBE, relaxed); formation energy from the elements = -337 meV/atom; E_tot = -3.0721 eV per atom; total moment = 0.00 Bohr magnetons per cell; symmetry = Immm; mass density = 4.82 g/cm³
1.0
-4.836 -2.330 -1.130
1.915 -1.601 -4.893
4.404 -5.960 6.758
Ga Ba Sn
4 3 1
Cartesian
1.754 -5.545 3.925
-0.271 -4.347 -3.191
-1.156 -3.608 -0.931
2.639 -6.284 1.666
1.185 -3.192 1.509
0.958 -0.801 -2.447
0.298 -6.700 -0.774
-2.418 -1.165 -0.565

Record 7
Ba8Ga2Sn (PBE, relaxed); formation energy from the elements = -210 meV/atom; E_tot = -2.5223 eV per atom; energy above the most stable polymorph in this dataset = 58.1 meV/atom; total moment = 0.00 Bohr magnetons per cell; symmetry = Immm; mass density = 4.77 g/cm³
1.0
0.557 -5.009 -2.695
4.327 -3.661 7.697
-10.101 1.812 0.606
Sn Ba Ga
1 8 2
Cartesian
0.278 -2.505 -1.348
-0.929 -4.348 1.829
-2.165 -0.713 0.877
1.375 -1.164 2.447
-4.289 -2.510 3.779
0.939 -5.927 5.149
-3.053 -6.145 4.730
-6.593 -5.694 3.160
-6.156 -0.931 0.458
-4.483 -4.072 0.581
-0.734 -2.786 5.026

Record 8
BaGaSn3 (PBE, relaxed); formation energy from the elements = -103 meV/atom; E_tot = -3.4949 eV per atom; energy above the most stable polymorph in this dataset = 239.2 meV/atom; total moment = 0.00 Bohr magnetons per cell; symmetry = Pm-3m; mass density = 5.67 g/cm³
1.0
5.486 0.000 0.000
0.000 5.486 0.000
0.000 0.000 5.486
Sn Ga Ba
3 1 1
Cartesian
2.743 0.000 0.000
0.000 0.000 2.743
0.000 2.743 0.000
0.000 0.000 0.000
2.743 2.743 2.743